Here is a relaxed structure of Ca2CoCN2O2 from Alexandria. Energies are from PBE+U.

Properties
**Total energy**: -54.6 eV/cell

```
Ca2CoCN2O2
1.0
-0.012 3.651 -1.144
-1.227 -1.087 -3.457
-7.437 0.731 2.411
O Co Ca N C
2 1 2 2 1
direct
0.500 0.000 0.500
0.000 0.500 0.500
0.000 0.000 0.500
0.500 0.500 0.700
0.500 0.500 0.300
0.000 0.000 0.841
0.000 0.000 0.159
0.000 0.000 0.000
```